Compound: Pr3Rh2Au
Source: Alexandria
Functional: GGA-PBE
Structure: relaxed

Summary:
Energy relative to the elements = -651 meV/atom

Cell: 3.613 3.613 11.003 Å, 90.00 90.00 90.00°
Space group P4/mmm (No. 123)
Inequivalent atoms, fractional coordinates:
Pr: 0.000 0.000 0.000 [1 per cell]
Pr: 0.000 0.000 0.318 [2 per cell]
Rh: 0.500 0.500 0.164 [2 per cell]
Au: 0.500 0.500 0.500 [1 per cell]



Compound: CaLuAu2
Source: Alexandria
Functional: GGA-PBE
Structure: relaxed

Summary:
Energy relative to the elements = -854 meV/atom

Cell: 3.567 3.567 7.268 Å, 90.00 90.00 90.00°
Space group P4/mmm (No. 123)
Inequivalent atoms, fractional coordinates:
Ca: 0.000 0.000 0.000 [1 per cell]
Lu: 0.000 0.000 0.500 [1 per cell]
Au: 0.500 0.500 0.278 [2 per cell]



Compound: Tb3TlTc
Source: Alexandria
Functional: GGA-PBE
Structure: relaxed

Summary:
Energy relative to the elements = -173 meV/atom

Cell: 6.672 9.780 16.200 Å, 90.00 90.00 90.00°
Space group Fmmm (No. 69)
Inequivalent atoms, fractional coordinates:
Tb: 0.000 0.000 0.200 [8 per cell]
Tb: 0.000 0.191 0.388 [16 per cell]
Tl: 0.213 0.000 0.000 [8 per cell]
Tc: 0.250 0.250 0.250 [8 per cell]



Compound: La2Ti2In
Source: Alexandria
Functional: GGA-PBE
Structure: relaxed

Summary:
Energy relative to the elements = 41 meV/atom

Cell: 7.467 7.467 4.687 Å, 90.00 90.00 90.00°
Space group P4/mbm (No. 127)
Inequivalent atoms, fractional coordinates:
La: 0.170 0.330 0.000 [4 per cell]
Ti: 0.131 0.631 0.500 [4 per cell]
In: 0.000 0.000 0.500 [2 per cell]



Compound: NaSr2Ga
Source: Alexandria
Functional: GGA-PBE
Structure: relaxed

Summary:
Energy relative to the elements = -86 meV/atom

Cell: 4.2274 4.2274 32.2755 Å, 90.00 90.00 120.00°
Space group R3m (No. 160, hexagonal axes)
Inequivalent atoms, fractional coordinates:
Na: 0.0000 0.0000 0.0000 [3 per cell]
Sr: 0.0000 0.0000 0.2333 [3 per cell]
Sr: 0.0000 0.0000 0.4345 [3 per cell]
Ga: 0.0000 0.0000 0.8340 [3 per cell]



Compound: Ca4Pr3Te8
Source: Alexandria
Functional: GGA-PBE
Structure: relaxed

Summary:
Uncorrected formation energy = -1.410 eV per atom

Cell: 9.0216 9.0216 24.6103 Å, 90.00 90.00 120.00°
Space group R-3m (No. 166, hexagonal axes)
Inequivalent atoms, fractional coordinates:
Ca: 0.0000 0.0000 0.0000 [3 per cell]
Ca: 0.0000 0.0000 0.1435 [6 per cell]
Ca: 0.0000 0.0000 0.5000 [3 per cell]
Pr: 0.0000 0.5000 0.0000 [9 per cell]
Te: 0.0000 0.0000 0.2628 [6 per cell]
Te: 0.0051 0.5026 0.2538 [18 per cell]



Compound: Y2ZrIn
Source: Alexandria
Functional: GGA-PBE
Structure: relaxed

Summary:
Energy relative to the elements = -72 meV/atom

Cell: 11.189 3.420 5.755 Å, 90.00 102.42 90.00°
Space group C2/m (No. 12)
Inequivalent atoms, fractional coordinates:
Y: 0.244 0.000 0.250 [4 per cell]
Zr: 0.000 0.000 0.500 [2 per cell]
In: 0.000 0.500 0.000 [2 per cell]



Compound: BeMoIr2
Source: Alexandria
Functional: GGA-PBE
Structure: relaxed

Summary:
Energy relative to the elements = -470 meV/atom

Cell: 2.815 2.815 6.600 Å, 90.00 90.00 90.00°
Space group P4/mmm (No. 123)
Inequivalent atoms, fractional coordinates:
Be: 0.000 0.000 0.000 [1 per cell]
Mo: 0.000 0.000 0.500 [1 per cell]
Ir: 0.500 0.500 0.216 [2 per cell]



In μB/f.u., the magnetic moment values for the records above are, in order, 0.0; 0.0; 0.0; 0.0; 0.0; 0.0; 0.0; 0.0.